Material: CuNiRh
Method: DFT, GGA-PBEsol
State: optimized geometry

Cell: 2.6025 2.6025 10.5260 Å, 90.00 90.00 90.00°
Space group I4mm (No. 107)
Inequivalent atoms, fractional coordinates:
Cu1 0.0000 0.0000 0.0000 x2
Ni1 0.0000 0.0000 0.6592 x2
Rh1 0.0000 0.0000 0.3233 x2

Values from the calculation:
Calculated total energy   -36.75 eV per cell
Energy relative to the elements   0.084 eV/atom
Energy above the lowest structure with this stoichiometry   0.03 eV/f.u.